Below is a relaxed CrReF2 crystal, with properties calculated at the GGA+U level.

a = 5.1749 Å, b = 5.1749 Å, c = 10.4799 Å
α = 90.00°, β = 90.00°, γ = 90.00°
Space group I-42d (No. 122)
Unique sites:
Cr1 0.0000 0.0000 0.0000 (multiplicity 4)
Re1 0.0000 0.0000 0.5000 (multiplicity 4)
F1 0.2082 0.2500 0.1250 (multiplicity 8)

Values from the calculation:
Distance to the lowest polymorph of the same formula   0.8675 eV/atom
D(E_F)   2.4 states/eV/cell